(1)
# BPF2, relaxed, DFT GGA-PBE
# - ΔE to the lowest computed polymorph (eV per formula unit) = 2.30
# - uncorrected formation energy (eV per atom) = -0.058
# - total DFT energy (no corrections) (eV/atom) = -4.0157
data_BPF2
_symmetry_space_group_name_H-M 'P 1'
_symmetry_Int_Tables_number 1
_cell_length_a 5.205
_cell_length_b 5.205
_cell_length_c 5.205
_cell_angle_alpha 60.00
_cell_angle_beta 60.00
_cell_angle_gamma 60.00
loop_
_symmetry_equiv_pos_as_xyz
'x,y,z'
loop_
_atom_site_label
_atom_site_fract_x
_atom_site_fract_y
_atom_site_fract_z
_atom_site_occupancy
B1 0.250 0.250 0.250 1
B2 0.000 0.000 0.000 1
P1 0.750 0.750 0.750 1
P2 0.500 0.500 0.500 1
F1 0.125 0.625 0.125 1
F2 0.125 0.125 0.625 1
F3 0.125 0.125 0.125 1
F4 0.625 0.125 0.125 1

---

(2)
# Sr3Zn2As4, relaxed, DFT GGA-PBE
# - energy of formation from the pure elements (eV/atom) = -0.8597
# - total DFT energy (no corrections) (eV/atom) = -3.7698
data_Sr3Zn2As4
_symmetry_space_group_name_H-M 'P 1'
_symmetry_Int_Tables_number 1
_cell_length_a 4.342
_cell_length_b 7.033
_cell_length_c 8.415
_cell_angle_alpha 111.70
_cell_angle_beta 104.95
_cell_angle_gamma 90.00
loop_
_symmetry_equiv_pos_as_xyz
'x,y,z'
loop_
_atom_site_label
_atom_site_fract_x
_atom_site_fract_y
_atom_site_fract_z
_atom_site_occupancy
As1 0.508 0.686 0.016 1
As2 0.794 0.811 0.588 1
As3 0.492 0.314 0.984 1
As4 0.206 0.189 0.412 1
Zn1 0.328 0.031 0.656 1
Zn2 0.672 0.969 0.344 1
Sr1 0.000 0.000 0.000 1
Sr2 0.858 0.419 0.716 1
Sr3 0.142 0.581 0.284 1

---

(3)
# V3Fe2Co, relaxed, DFT GGA-PBE
# - energy of formation from the pure elements (eV/atom) = -0.0933
# - ΔE to the lowest computed polymorph (eV per formula unit) = 0.04
# - total DFT energy (no corrections) (eV/atom) = -8.6579
data_V3Fe2Co
_symmetry_space_group_name_H-M 'P 1'
_symmetry_Int_Tables_number 1
_cell_length_a 2.733
_cell_length_b 2.733
_cell_length_c 9.475
_cell_angle_alpha 90.00
_cell_angle_beta 90.00
_cell_angle_gamma 90.00
loop_
_symmetry_equiv_pos_as_xyz
'x,y,z'
loop_
_atom_site_label
_atom_site_fract_x
_atom_site_fract_y
_atom_site_fract_z
_atom_site_occupancy
V1 0.000 0.000 0.000 1
V2 0.000 0.000 0.673 1
V3 0.000 0.000 0.327 1
Fe1 0.500 0.500 0.847 1
Fe2 0.500 0.500 0.153 1
Co1 0.500 0.500 0.500 1

---

(4)
# Be2AgP, relaxed, DFT GGA-PBE
# - energy of formation from the pure elements (eV/atom) = 0.4185
# - total DFT energy (no corrections) (eV/atom) = -3.5099
data_Be2AgP
_symmetry_space_group_name_H-M 'P 1'
_symmetry_Int_Tables_number 1
_cell_length_a 4.943
_cell_length_b 4.943
_cell_length_c 4.943
_cell_angle_alpha 139.07
_cell_angle_beta 139.07
_cell_angle_gamma 59.28
loop_
_symmetry_equiv_pos_as_xyz
'x,y,z'
loop_
_atom_site_label
_atom_site_fract_x
_atom_site_fract_y
_atom_site_fract_z
_atom_site_occupancy
Be1 0.000 0.000 0.000 1
Be2 0.250 0.750 0.500 1
Ag1 0.750 0.250 0.500 1
P1 0.500 0.500 0.000 1

---

(5)
# Y4Ho3Th2, relaxed, DFT GGA-PBE
# - energy of formation from the pure elements (eV/atom) = 0.0685
# - ΔE to the lowest computed polymorph (eV per formula unit) = 0.37
# - total DFT energy (no corrections) (eV/atom) = -5.9791
data_Y4Ho3Th2
_symmetry_space_group_name_H-M 'P 1'
_symmetry_Int_Tables_number 1
_cell_length_a 3.564
_cell_length_b 3.564
_cell_length_c 26.439
_cell_angle_alpha 90.00
_cell_angle_beta 90.00
_cell_angle_gamma 120.00
loop_
_symmetry_equiv_pos_as_xyz
'x,y,z'
loop_
_atom_site_label
_atom_site_fract_x
_atom_site_fract_y
_atom_site_fract_z
_atom_site_occupancy
Ho1 0.000 0.000 0.981 1
Ho2 0.000 0.000 0.326 1
Ho3 0.667 0.333 0.651 1
Th1 0.667 0.333 0.870 1
Th2 0.667 0.333 0.091 1
Y1 0.667 0.333 0.434 1
Y2 0.000 0.000 0.543 1
Y3 0.000 0.000 0.760 1
Y4 0.667 0.333 0.220 1

---

(6)
# CePu8Pt6, relaxed, DFT GGA-PBE
# - energy of formation from the pure elements (eV/atom) = -0.3834
# - total DFT energy (no corrections) (eV/atom) = -10.8390
data_CePu8Pt6
_symmetry_space_group_name_H-M 'P 1'
_symmetry_Int_Tables_number 1
_cell_length_a 6.390
_cell_length_b 6.390
_cell_length_c 9.630
_cell_angle_alpha 70.62
_cell_angle_beta 70.62
_cell_angle_gamma 60.00
loop_
_symmetry_equiv_pos_as_xyz
'x,y,z'
loop_
_atom_site_label
_atom_site_fract_x
_atom_site_fract_y
_atom_site_fract_z
_atom_site_occupancy
Pt1 0.738 0.410 0.786 1
Pt2 0.065 0.738 0.786 1
Pt3 0.262 0.590 0.214 1
Pt4 0.410 0.065 0.786 1
Pt5 0.935 0.262 0.214 1
Pt6 0.590 0.935 0.214 1
Pu1 0.665 0.665 0.005 1
Pu2 0.853 0.524 0.435 1
Pu3 0.524 0.187 0.435 1
Pu4 0.476 0.813 0.565 1
Pu5 0.187 0.853 0.435 1
Pu6 0.335 0.335 0.995 1
Pu7 0.813 0.147 0.565 1
Pu8 0.147 0.476 0.565 1
Ce1 0.000 0.000 0.000 1

---

total DFT energy (no corrections) of number 5 (Y4Ho3Th2)? -5.9791 eV/atom

---

Please write out number 6 again, unchanged.
# CePu8Pt6, relaxed, DFT GGA-PBE
# - energy of formation from the pure elements (eV/atom) = -0.3834
# - total DFT energy (no corrections) (eV/atom) = -10.8390
data_CePu8Pt6
_symmetry_space_group_name_H-M 'P 1'
_symmetry_Int_Tables_number 1
_cell_length_a 6.390
_cell_length_b 6.390
_cell_length_c 9.630
_cell_angle_alpha 70.62
_cell_angle_beta 70.62
_cell_angle_gamma 60.00
loop_
_symmetry_equiv_pos_as_xyz
'x,y,z'
loop_
_atom_site_label
_atom_site_fract_x
_atom_site_fract_y
_atom_site_fract_z
_atom_site_occupancy
Pt1 0.738 0.410 0.786 1
Pt2 0.065 0.738 0.786 1
Pt3 0.262 0.590 0.214 1
Pt4 0.410 0.065 0.786 1
Pt5 0.935 0.262 0.214 1
Pt6 0.590 0.935 0.214 1
Pu1 0.665 0.665 0.005 1
Pu2 0.853 0.524 0.435 1
Pu3 0.524 0.187 0.435 1
Pu4 0.476 0.813 0.565 1
Pu5 0.187 0.853 0.435 1
Pu6 0.335 0.335 0.995 1
Pu7 0.813 0.147 0.565 1
Pu8 0.147 0.476 0.565 1
Ce1 0.000 0.000 0.000 1

---

Repeat the first record exactly.
# BPF2, relaxed, DFT GGA-PBE
# - ΔE to the lowest computed polymorph (eV per formula unit) = 2.30
# - uncorrected formation energy (eV per atom) = -0.058
# - total DFT energy (no corrections) (eV/atom) = -4.0157
data_BPF2
_symmetry_space_group_name_H-M 'P 1'
_symmetry_Int_Tables_number 1
_cell_length_a 5.205
_cell_length_b 5.205
_cell_length_c 5.205
_cell_angle_alpha 60.00
_cell_angle_beta 60.00
_cell_angle_gamma 60.00
loop_
_symmetry_equiv_pos_as_xyz
'x,y,z'
loop_
_atom_site_label
_atom_site_fract_x
_atom_site_fract_y
_atom_site_fract_z
_atom_site_occupancy
B1 0.250 0.250 0.250 1
B2 0.000 0.000 0.000 1
P1 0.750 0.750 0.750 1
P2 0.500 0.500 0.500 1
F1 0.125 0.625 0.125 1
F2 0.125 0.125 0.625 1
F3 0.125 0.125 0.125 1
F4 0.625 0.125 0.125 1

---

The lowest total DFT energy (no corrections) belongs to which entry? CePu8Pt6